# GaSn2Ir

GaSn2Ir after structural relaxation (PBE, OQMD via LeMat-Bulk).

```
GaSn2Ir
1.0
0.0000 3.4175 3.4175
3.4175 0.0000 3.4175
3.4175 3.4175 0.0000
Ga Sn Ir
1 2 1
Direct
0.0000 0.0000 0.0000 Ga
0.5000 0.5000 0.5000 Sn
0.7500 0.7500 0.7500 Sn
0.2500 0.2500 0.2500 Ir
```

Summary:
VASP energy   -4.7381 eV/atom
Symmetry   F-43m
Total moment   0.00 μB per cell